1.
Here is Tl2AgS4 after structural relaxation from Alexandria via LeMat-Bulk. Energies are from PBE-GGA.

Computed properties:
* excess energy over the best structure of this formula in the dataset: 0.2303 eV per atom
* size of the total moment: 0.0 Bohr magnetons per cell

Cell: 6.7950 10.3328 9.5644 Å, 90.00 90.00 90.00°
Space group Cccm (No. 66)
Symmetry-distinct sites (fractional):
Tl1 0.0033 0.2003 0.0000
Ag1 0.0000 0.5000 0.2500
S1 0.1953 0.4370 0.5000
S2 0.2500 0.2500 0.1976

---

2.
Here is Dy2Er3Cd after structural relaxation from Alexandria via LeMat-Bulk. Energies are from PBE-GGA.

Computed properties:
* excess energy over the best structure of this formula in the dataset: 0.0000 eV per atom
* size of the total moment: 0.0 Bohr magnetons per cell

Cell: 3.5309 3.5309 14.0965 Å, 90.00 90.00 90.00°
Space group P4/mmm (No. 123)
Symmetry-distinct sites (fractional):
Dy1 0.0000 0.0000 0.1767
Er1 0.5000 0.5000 0.0000
Er2 0.5000 0.5000 0.3529
Cd1 0.0000 0.0000 0.5000

---

What is the size of the total moment in the second record? 0.0 Bohr magnetons per cell

---

What is the size of the total moment in the first record? 0.0 Bohr magnetons per cell